{"formula": "Ce2SmSn2Hg2", "functional": "PBE", "state": "relaxed", "dos_ef_per_ev_cell": 13.064, "total_energy_ha_per_atom": -0.143, "formation_enthalpy_0k_kcal_per_mol_atoms": -6.9, "lattice": [[4.855, 0.000, 0.000], [2.427, 4.204, 0.000], [2.427, 1.401, 9.329]], "species": ["Sm", "Ce", "Ce", "Hg", "Hg", "Sn", "Sn"], "frac_coords": [[0.000, 0.000, 0.000], [0.857, 0.857, 0.429], [0.143, 0.143, 0.571], [0.428, 0.428, 0.715], [0.572, 0.572, 0.285], [0.273, 0.273, 0.182], [0.727, 0.727, 0.818]]}